DFT (PBE-GGA) results for an optimized crystal structure of CoAgSe2. Values from VASP.

Calculated values
The space-group type is No. 122. The value obtained for the energy is -68.65 eV/cell.

```
&SYSTEM
  ibrav = 0, nat = 16, ntyp = 3
/
ATOMIC_SPECIES
Co 58.93 Co.upf
Ag 107.87 Ag.upf
Se 78.96 Se.upf
CELL_PARAMETERS angstrom
5.7963 0.0000 0.0000
0.0000 5.7963 0.0000
0.0000 0.0000 10.6911
ATOMIC_POSITIONS crystal
Co 0.0000 0.0000 0.0000
Co 0.0000 0.5000 0.2500
Co 0.5000 0.0000 0.7500
Co 0.5000 0.5000 0.5000
Ag 0.0000 0.0000 0.5000
Ag 0.0000 0.5000 0.7500
Ag 0.5000 0.0000 0.2500
Ag 0.5000 0.5000 0.0000
Se 0.1951 0.7500 0.1250
Se 0.2500 0.1951 0.8750
Se 0.2500 0.3049 0.3750
Se 0.3049 0.7500 0.6250
Se 0.6951 0.2500 0.6250
Se 0.7500 0.6951 0.3750
Se 0.7500 0.8049 0.8750
Se 0.8049 0.2500 0.1250
```